Below is crystalline Sn2Ge2S at its relaxed geometry, with properties calculated at the PBE level.

## Properties
magnetization: 0.000 μB per atom
space group: No. 127
E_form (uncorrected): 16.9 kJ per mole of atoms
energy relative to the lowest polymorph listed for this composition: 0.000 eV/atom

Geometry as POSCAR:
```
Sn2Ge2S
1.0
7.6922 0.0000 0.0000
0.0000 7.6922 0.0000
0.0000 0.0000 4.1544
Sn Ge S
4 4 2
direct
0.1963 0.3037 0.0000
0.3037 0.8037 0.0000
0.8037 0.6963 0.0000
0.6963 0.1963 0.0000
0.6128 0.8872 0.5000
0.1128 0.6128 0.5000
0.3872 0.1128 0.5000
0.8872 0.3872 0.5000
0.5000 0.5000 0.0000
0.0000 0.0000 0.0000
```